A relaxed structure of UFe2Re, computed with PBE.

abc: 2.766 2.766 7.353
angles: 90.00 90.00 90.00
Space group P4/mmm (No. 123)
Inequivalent atoms, fractional coordinates:
U: 0.000 0.000 0.000
Fe: 0.500 0.500 0.269
Re: 0.000 0.000 0.500

- ΔH_f (0 K) (eV per atom) = 0.10
- offset from the most stable computed form (eV per formula unit) = 0.134

***

A relaxed structure of KCeSb2Au2, computed with PBE.

abc: 4.7122 4.7122 9.2502
angles: 90.00 90.00 120.00
Space group P-3m1 (No. 164)
Inequivalent atoms, fractional coordinates:
K: 0.0000 0.0000 0.0000
Ce: 0.0000 0.0000 0.5000
Sb: 0.3333 0.6667 0.7254
Au: 0.3333 0.6667 0.3106

- formation energy from raw total energies (eV per atom) = -0.679

***

no.,E_tot (eV/cell)
1,-40.3
2,-25.9